Computed, not measured: Pm4Nd15Th after structural relaxation at the GGA-PBE level of DFT.

Cell lengths 5.1968, 5.1968, 25.9599 Å; angles 90.00, 90.00, 90.00 degrees
With the nearest neighbours (Å) after each atom.
Sites, in units of the cell vectors:
Nd1 0.0000 0.5000 0.0976  2 Th 3.63, 8 Nd 3.63-3.73, 2 Pm 3.71
Nd2 0.5000 0.5000 0.0000  8 Nd 3.63, 4 Th 3.67
Nd3 0.5000 0.5000 0.6000  8 Nd 3.67-3.69, 4 Pm 3.67
Nd4 0.0000 0.5000 0.9024  2 Th 3.63, 8 Nd 3.63-3.73, 2 Pm 3.71
Nd5 0.0000 0.5000 0.7007  8 Nd 3.65-3.69, 4 Pm 3.67-3.69
Nd6 0.5000 0.5000 0.7996  8 Nd 3.65-3.73, 4 Pm 3.67
Nd7 0.5000 0.0000 0.0976  2 Th 3.63, 8 Nd 3.63-3.73, 2 Pm 3.71
Nd8 0.5000 0.5000 0.2004  8 Nd 3.65-3.73, 4 Pm 3.67
Nd9 0.5000 0.0000 0.5000  8 Nd 3.67, 4 Pm 3.67
Nd10 0.0000 0.5000 0.2993  8 Nd 3.65-3.69, 4 Pm 3.67-3.69
Nd11 0.5000 0.0000 0.2993  8 Nd 3.65-3.69, 4 Pm 3.67-3.69
Nd12 0.5000 0.0000 0.9024  2 Th 3.63, 8 Nd 3.63-3.73, 2 Pm 3.71
Nd13 0.5000 0.0000 0.7007  8 Nd 3.65-3.69, 4 Pm 3.67-3.69
Nd14 0.5000 0.5000 0.4000  8 Nd 3.67-3.69, 4 Pm 3.67
Nd15 0.0000 0.5000 0.5000  8 Nd 3.67, 4 Pm 3.67
Pm1 0.0000 0.0000 0.6000  12 Nd 3.67-3.69
Pm2 0.0000 0.0000 0.8005  12 Nd 3.67-3.71
Pm3 0.0000 0.0000 0.1995  12 Nd 3.67-3.71
Pm4 0.0000 0.0000 0.4000  12 Nd 3.67-3.69
Th1 0.0000 0.0000 0.0000  12 Nd 3.63-3.67

Computed properties:
The value obtained for the energy of formation is 25 meV per atom. Its crystal system is tetragonal. The density of states at the Fermi level comes out at 1.539 states/eV/atom. As for the total moment: 0.000 μB per cell.

Computed, not measured: YErHg4 after structural relaxation at the GGA-PBE level of DFT.

Cell lengths 3.6018, 6.2057, 8.0516 Å; angles 112.18, 77.08, 73.13 degrees
With the nearest neighbours (Å) after each atom.
Sites, in units of the cell vectors:
Hg1 0.8296 0.5038 0.8370  4 Hg 3.15-3.17, 2 Er 3.16, 2 Y 3.19
Hg2 0.3367 0.9954 0.3312  4 Hg 3.17-3.18, 2 Er 3.17, 2 Y 3.20
Hg3 0.6633 0.0046 0.6688  4 Hg 3.17-3.18, 2 Er 3.17, 2 Y 3.20
Hg4 0.1704 0.4962 0.1630  4 Hg 3.15-3.17, 2 Er 3.16, 2 Y 3.19
Y1 0.5000 0.5000 0.5000  8 Hg 3.19-3.20
Er1 0.0000 0.0000 0.0000  8 Hg 3.16-3.17

Computed properties:
The value obtained for the energy of formation is -343 meV per atom. Its crystal system is monoclinic. As for the offset from the most stable computed form: 0.30 eV/f.u. The density of states at the Fermi level comes out at 0.633 states/eV/atom. As for the total moment: 0.245 μB per cell.

Computed, not measured: Ca12Bi3N5 after structural relaxation at the GGA-PBE level of DFT.

Cell lengths 13.9163, 13.9163, 13.9163 Å; angles 109.47, 109.47, 109.47 degrees
With the nearest neighbours (Å) after each atom.
Sites, in units of the cell vectors:
Ca1 0.9895 0.3878 0.3056  2 N 2.30-2.56
Ca2 0.8161 0.9178 0.3056  2 N 2.30-2.56
Ca3 0.8161 0.8983 0.0105  2 N 2.30-2.56
Ca4 0.6122 0.0105 0.1944  2 N 2.30-2.56
Ca5 0.9178 0.8161 0.8056  2 N 2.30-2.56
Ca6 0.9178 0.1017 0.6122  2 N 2.30-2.56
Ca7 0.5822 0.6944 0.6839  2 N 2.30-2.56
Ca8 0.5105 0.3161 0.8983  2 N 2.30-2.56
Ca9 0.0105 0.6122 0.6944  2 N 2.30-2.56
Ca10 0.8056 0.3161 0.9178  2 N 2.30-2.56
Ca11 0.8983 0.0822 0.8878  2 N 2.30-2.56
Ca12 0.0822 0.8983 0.3878  2 N 2.30-2.56
Ca13 0.6839 0.1944 0.5822  2 N 2.30-2.56
Ca14 0.3983 0.0105 0.3161  2 N 2.30-2.56
Ca15 0.1944 0.5105 0.6122  2 N 2.30-2.56
Ca16 0.3056 0.4178 0.8161  2 N 2.30-2.56
Ca17 0.0105 0.3983 0.8161  2 N 2.30-2.56
Ca18 0.1944 0.6839 0.0822  2 N 2.30-2.56
Ca19 0.1017 0.9178 0.1122  2 N 2.30-2.56
Ca20 0.8983 0.8161 0.5105  2 N 2.30-2.56
Ca21 0.3161 0.8056 0.4178  2 N 2.30-2.56
Ca22 0.3983 0.3878 0.5822  2 N 2.30-2.56
Ca23 0.1122 0.4178 0.1017  2 N 2.30-2.56
Ca24 0.0822 0.1839 0.1944  2 N 2.30-2.56
Ca25 0.8878 0.5822 0.8983  2 N 2.30-2.56
Ca26 0.8878 0.3056 0.4895  2 N 2.30-2.56
Ca27 0.5822 0.8878 0.3983  2 N 2.30-2.56
Ca28 0.6122 0.6017 0.9178  2 N 2.30-2.56
Ca29 0.5105 0.1944 0.1122  2 N 2.30-2.56
Ca30 0.1839 0.1017 0.9895  2 N 2.30-2.56
Ca31 0.8056 0.4895 0.3878  2 N 2.30-2.56
Ca32 0.6017 0.6122 0.4178  2 N 2.30-2.56
Ca33 0.3056 0.8878 0.9895  2 N 2.30-2.56
Ca34 0.4895 0.6839 0.1017  2 N 2.30-2.56
Ca35 0.4178 0.1122 0.6017  2 N 2.30-2.56
Ca36 0.3161 0.5105 0.3983  2 N 2.30-2.56
Ca37 0.1122 0.6944 0.5105  2 N 2.30-2.56
Ca38 0.6944 0.5822 0.1839  2 N 2.30-2.56
Ca39 0.4895 0.8056 0.8878  2 N 2.30-2.56
Ca40 0.1017 0.1839 0.4895  2 N 2.30-2.56
Ca41 0.3878 0.3983 0.0822  2 N 2.30-2.56
Ca42 0.4178 0.3056 0.3161  2 N 2.30-2.56
Ca43 0.3878 0.9895 0.8056  2 N 2.30-2.56
Ca44 0.6017 0.9895 0.6839  2 N 2.30-2.56
Ca45 0.6839 0.4895 0.6017  2 N 2.30-2.56
Ca46 0.9895 0.6017 0.1839  2 N 2.30-2.56
Ca47 0.1839 0.0822 0.6944  2 N 2.30-2.56
Ca48 0.6944 0.1122 0.0105  2 N 2.30-2.56
N1 0.8750 0.6250 0.7500  4 Ca 2.30
N2 0.1250 0.7500 0.3750  4 Ca 2.30
N3 0.8750 0.2500 0.6250  4 Ca 2.30
N4 0.1250 0.3750 0.2500  4 Ca 2.30
N5 0.0000 0.0000 0.0000  6 Ca 2.56
N6 0.5000 0.5000 0.0000  6 Ca 2.56
N7 0.6250 0.7500 0.8750  4 Ca 2.30
N8 0.5000 0.5000 0.5000  6 Ca 2.56
N9 0.7500 0.6250 0.3750  4 Ca 2.30
N10 0.0000 0.0000 0.5000  6 Ca 2.56
N11 0.7500 0.1250 0.8750  4 Ca 2.30
N12 0.0000 0.5000 0.5000  6 Ca 2.56
N13 0.5000 0.0000 0.0000  6 Ca 2.56
N14 0.0000 0.5000 0.0000  6 Ca 2.56
N15 0.3750 0.2500 0.1250  4 Ca 2.30
N16 0.3750 0.1250 0.7500  4 Ca 2.30
N17 0.2500 0.3750 0.6250  4 Ca 2.30
N18 0.2500 0.8750 0.1250  4 Ca 2.30
N19 0.5000 0.0000 0.5000  6 Ca 2.56
N20 0.6250 0.8750 0.2500  4 Ca 2.30
Bi1 0.2500 0.1250 0.3750  8 Ca 3.15-3.34
Bi2 0.2500 0.6250 0.8750  8 Ca 3.15-3.34
Bi3 0.6250 0.2500 0.3750  8 Ca 3.15-3.34
Bi4 0.7500 0.8750 0.6250  8 Ca 3.15-3.34
Bi5 0.8750 0.1250 0.2500  8 Ca 3.15-3.34
Bi6 0.7500 0.3750 0.1250  8 Ca 3.15-3.34
Bi7 0.3750 0.7500 0.6250  8 Ca 3.15-3.34
Bi8 0.1250 0.8750 0.7500  8 Ca 3.15-3.34
Bi9 0.1250 0.2500 0.8750  8 Ca 3.15-3.34
Bi10 0.6250 0.3750 0.7500  8 Ca 3.15-3.34
Bi11 0.8750 0.7500 0.1250  8 Ca 3.15-3.34
Bi12 0.3750 0.6250 0.2500  8 Ca 3.15-3.34

Computed properties:
The calculation puts the uncorrected formation energy at -0.782 eV per atom. Its crystal system is cubic. The density of states at the Fermi level comes out at 0.005 states/eV/atom. As for the total moment: 0.000 μB per cell.

Computed, not measured: Mn2Tl3CuSe6 after structural relaxation at the GGA-PBE level of DFT.

Cell lengths 6.6066, 6.6066, 7.7615 Å; angles 98.09, 98.09, 120.23 degrees
With the nearest neighbours (Å) after each atom.
Sites, in units of the cell vectors:
Mn1 0.3327 0.6673 0.0000  6 Se 2.54-2.55
Mn2 0.6673 0.3327 0.0000  6 Se 2.54-2.55
Se1 0.0601 0.4033 0.1820  2 Mn 2.55, 1 Cu 2.64
Se2 0.5967 0.9399 0.8180  2 Mn 2.55, 1 Cu 2.64
Se3 0.2802 0.2802 0.8278  2 Mn 2.54, 1 Cu 2.57
Se4 0.4033 0.0601 0.1820  2 Mn 2.55, 1 Cu 2.64
Se5 0.9399 0.5967 0.8180  2 Mn 2.55, 1 Cu 2.64
Se6 0.7198 0.7198 0.1722  2 Mn 2.54, 1 Cu 2.57
Tl1 0.1633 0.8367 0.5000  6 Se 3.21-3.27
Tl2 0.8367 0.1633 0.5000  6 Se 3.21-3.27
Tl3 0.5000 0.5000 0.5000  6 Se 3.26
Cu1 0.0000 0.0000 0.0000  6 Se 2.57-2.64

Computed properties:
The calculation puts the uncorrected formation energy at -0.345 eV per atom. Its crystal system is monoclinic. The density of states at the Fermi level comes out at 0.373 states/eV/atom. As for the total moment: 6.135 μB per cell.

Computed, not measured: YReCl2 after structural relaxation at the GGA-PBE level of DFT.

Cell lengths 5.8774, 5.8774, 5.8774 Å; angles 141.37, 141.37, 55.78 degrees
With the nearest neighbours (Å) after each atom.
Sites, in units of the cell vectors:
Re1 0.5000 0.5000 0.0000  4 Cl 2.75
Cl1 0.0000 0.0000 0.0000  4 Re 2.75
Cl2 0.2500 0.7500 0.5000  4 Y 2.75
Y1 0.7500 0.2500 0.5000  4 Cl 2.75

Computed properties:
The calculation puts the uncorrected formation energy at 0.213 eV per atom. Its crystal system is tetragonal. As for the offset from the most stable computed form: 2.77 eV/f.u. The density of states at the Fermi level comes out at 1.114 states/eV/atom. As for the total moment: 1.939 μB per cell.

Computed, not measured: Ho3Be2Si4 after structural relaxation at the GGA-PBE level of DFT.

Cell lengths 3.8844, 5.5938, 7.8141 Å; angles 98.44, 90.00, 110.32 degrees
With the nearest neighbours (Å) after each atom.
Sites, in units of the cell vectors:
Be1 0.3910 0.7821 0.7189  3 Si 2.17-2.19
Be2 0.6090 0.2179 0.2811  3 Si 2.17-2.19
Si1 0.0609 0.1218 0.3840  2 Be 2.19, 1 Si 2.38
Si2 0.2846 0.5692 0.9361  1 Be 2.17, 2 Si 2.35
Si3 0.7154 0.4308 0.0639  1 Be 2.17, 2 Si 2.35
Si4 0.9391 0.8782 0.6160  2 Be 2.19, 1 Si 2.38
Ho1 0.3348 0.6696 0.3337  8 Si 2.96-3.07, 4 Be 2.97-3.04
Ho2 0.0000 0.0000 0.0000  8 Si 2.96-3.10, 4 Be 3.02
Ho3 0.6652 0.3304 0.6663  8 Si 2.96-3.07, 4 Be 2.97-3.04

Computed properties:
The calculation puts the uncorrected formation energy at -0.696 eV per atom. Its crystal system is monoclinic. The density of states at the Fermi level comes out at 0.341 states/eV/atom. As for the total moment: 0.000 μB per cell.

Computed, not measured: SrZr2Te after structural relaxation at the GGA-PBE level of DFT.

Cell lengths 6.1872, 6.1872, 5.5582 Å; angles 73.98, 73.98, 32.98 degrees
With the nearest neighbours (Å) after each atom.
Sites, in units of the cell vectors:
Zr1 0.0331 0.0331 0.9540  2 Te 3.05, 2 Zr 3.14
Zr2 0.4669 0.4669 0.5460  2 Te 3.05, 2 Zr 3.14
Te1 0.7500 0.7500 0.7500  4 Zr 3.05, 4 Sr 3.29
Sr1 0.2500 0.2500 0.2500  4 Te 3.29, 2 Zr 3.43, 2 Sr 3.51

Computed properties:
The calculation puts the uncorrected formation energy at -0.118 eV per atom. Its crystal system is monoclinic. The density of states at the Fermi level comes out at 1.078 states/eV/atom. As for the total moment: 0.000 μB per cell.

Computed, not measured: Ho3Si4Rh7 after structural relaxation at the GGA-PBE level of DFT.

Cell lengths 3.9996, 7.8393, 8.1277 Å; angles 70.07, 75.76, 75.22 degrees
With the nearest neighbours (Å) after each atom.
Sites, in units of the cell vectors:
Rh1 0.1642 0.5934 0.0782  3 Si 2.40-2.46
Rh2 0.0000 0.0000 0.0000  2 Si 2.53
Rh3 0.6964 0.1548 0.4523  4 Si 2.42-2.56
Rh4 0.5044 0.7613 0.2299  3 Si 2.40-2.47
Rh5 0.8358 0.4066 0.9218  3 Si 2.40-2.46
Rh6 0.4956 0.2387 0.7701  3 Si 2.40-2.47
Rh7 0.3036 0.8452 0.5477  4 Si 2.42-2.56
Ho1 0.6690 0.8263 0.8356  9 Rh 2.90-3.05, 4 Si 2.96-3.01
Ho2 0.3310 0.1737 0.1644  9 Rh 2.90-3.05, 4 Si 2.96-3.01
Ho3 0.0000 0.5000 0.5000  6 Si 2.85-3.09, 6 Rh 3.15-3.19
Si1 0.3338 0.5527 0.7797  5 Rh 2.40-2.46
Si2 0.6662 0.4473 0.2203  5 Rh 2.40-2.46
Si3 0.1127 0.1105 0.6641  6 Rh 2.45-2.56
Si4 0.8873 0.8895 0.3359  6 Rh 2.45-2.56

Computed properties:
The calculation puts the uncorrected formation energy at -1.039 eV per atom. Its crystal system is monoclinic. The density of states at the Fermi level comes out at 0.373 states/eV/atom. As for the total moment: 0.000 μB per cell.